Density functional theory data (GGA-PBE) for a geometry-optimized Tl3W structure.

```
Tl3W
1.0
4.389 0.000 0.000
0.000 4.389 0.000
0.000 0.000 9.526
Tl W
6 2
direct
0.000 0.000 0.000 Tl
0.000 0.500 0.250 Tl
0.000 0.500 0.750 Tl
0.500 0.000 0.250 Tl
0.500 0.000 0.750 Tl
0.500 0.500 0.500 Tl
0.000 0.000 0.500 W
0.500 0.500 0.000 W
```

Output
- Energy of formation: 1061 meV/atom
- Magnetization: 0.9 μB/f.u.
- Symmetry: I4/mmm (139)

---

Density functional theory data (GGA-PBE) for a geometry-optimized TlW2 structure.

```
TlW2
1.0
4.223 0.000 0.000
0.000 12.958 0.000
0.000 0.000 4.328
Tl W
4 8
direct
0.000 0.080 0.250 Tl
0.000 0.920 0.750 Tl
0.500 0.420 0.750 Tl
0.500 0.580 0.250 Tl
0.000 0.250 0.750 W
0.000 0.371 0.250 W
0.000 0.629 0.750 W
0.000 0.750 0.250 W
0.500 0.129 0.750 W
0.500 0.250 0.250 W
0.500 0.750 0.750 W
0.500 0.871 0.250 W
```

Output
- Energy of formation: 749 meV/atom
- Magnetization: 0.0 μB/f.u.
- Symmetry: Cmcm (63)

---

Density functional theory data (GGA-PBE) for a geometry-optimized Tl3W4 structure.

```
Tl3W4
1.0
3.266 0.000 0.000
0.000 3.266 0.000
0.000 0.000 27.524
Tl W
6 8
direct
0.000 0.000 0.000 Tl
0.000 0.000 0.303 Tl
0.000 0.000 0.697 Tl
0.500 0.500 0.197 Tl
0.500 0.500 0.500 Tl
0.500 0.500 0.803 Tl
0.000 0.000 0.117 W
0.000 0.000 0.429 W
0.000 0.000 0.571 W
0.000 0.000 0.883 W
0.500 0.500 0.071 W
0.500 0.500 0.383 W
0.500 0.500 0.617 W
0.500 0.500 0.929 W
```

Output
- Energy of formation: 736 meV/atom
- Magnetization: 0.0 μB/f.u.
- Symmetry: I4/mmm (139)

---

Density functional theory data (GGA-PBE) for a geometry-optimized Tl3W structure.

```
Tl3W
1.0
2.988 0.000 0.000
0.000 4.951 0.000
0.000 0.000 14.481
Tl W
6 2
direct
0.000 0.000 0.000 Tl
0.000 0.500 0.182 Tl
0.000 0.500 0.818 Tl
0.500 0.000 0.318 Tl
0.500 0.000 0.682 Tl
0.500 0.500 0.500 Tl
0.000 0.000 0.500 W
0.500 0.500 0.000 W
```

Output
- Energy of formation: 745 meV/atom
- Magnetization: 0.6 μB/f.u.
- Symmetry: Immm (71)

---

Density functional theory data (GGA-PBE) for a geometry-optimized Tl4W5 structure.

```
Tl4W5
1.0
8.346 0.000 0.000
-4.173 7.228 0.000
0.000 0.000 5.605
Tl W
8 10
direct
0.000 0.000 0.000 Tl
0.000 0.000 0.500 Tl
0.000 0.366 0.250 Tl
0.000 0.634 0.750 Tl
0.366 0.000 0.250 Tl
0.366 0.366 0.750 Tl
0.634 0.000 0.750 Tl
0.634 0.634 0.250 Tl
0.000 0.304 0.750 W
0.000 0.696 0.250 W
0.304 0.000 0.750 W
0.304 0.304 0.250 W
0.333 0.667 0.000 W
0.333 0.667 0.500 W
0.667 0.333 0.000 W
0.667 0.333 0.500 W
0.696 0.000 0.250 W
0.696 0.696 0.750 W
```

Output
- Energy of formation: 1311 meV/atom
- Magnetization: 0.0 μB/f.u.
- Symmetry: P6_3/mcm (193)

---

Density functional theory data (GGA-PBE) for a geometry-optimized Tl5W4 structure.

```
Tl5W4
1.0
8.629 0.000 0.000
-4.314 7.473 0.000
0.000 0.000 5.638
Tl W
10 8
direct
0.000 0.286 0.250 Tl
0.000 0.714 0.750 Tl
0.286 0.000 0.250 Tl
0.286 0.286 0.750 Tl
0.333 0.667 0.000 Tl
0.333 0.667 0.500 Tl
0.667 0.333 0.000 Tl
0.667 0.333 0.500 Tl
0.714 0.000 0.750 Tl
0.714 0.714 0.250 Tl
0.000 0.000 0.000 W
0.000 0.000 0.500 W
0.000 0.385 0.750 W
0.000 0.615 0.250 W
0.385 0.000 0.750 W
0.385 0.385 0.250 W
0.615 0.000 0.250 W
0.615 0.615 0.750 W
```

Output
- Energy of formation: 1390 meV/atom
- Magnetization: 1.4 μB/f.u.
- Symmetry: P6_3/mcm (193)

---

Density functional theory data (GGA-PBE) for a geometry-optimized TlW4 structure.

```
TlW4
1.0
6.001 0.000 0.000
0.000 6.001 0.000
0.000 0.000 6.001
Tl W
2 8
direct
0.000 0.000 0.000 Tl
0.500 0.500 0.500 Tl
0.250 0.250 0.250 W
0.250 0.250 0.750 W
0.250 0.750 0.250 W
0.250 0.750 0.750 W
0.750 0.250 0.250 W
0.750 0.250 0.750 W
0.750 0.750 0.250 W
0.750 0.750 0.750 W
```

Output
- Energy of formation: 2629 meV/atom
- Magnetization: 0.0 μB/f.u.
- Symmetry: Im-3m (229)

---

Density functional theory data (GGA-PBE) for a geometry-optimized Tl3W structure.

```
Tl3W
1.0
3.083 0.000 0.000
0.000 5.448 0.000
0.000 0.000 5.515
Tl W
3 1
direct
0.000 0.000 0.000 Tl
0.000 0.500 0.324 Tl
0.500 0.000 0.517 Tl
0.500 0.500 0.820 W
```

Output
- Energy of formation: 947 meV/atom
- Magnetization: 0.0 μB/f.u.
- Symmetry: Pmm2 (25)

---

Density functional theory data (GGA-PBE) for a geometry-optimized Tl3W structure.

```
Tl3W
1.0
3.151 0.000 0.000
-1.575 2.729 0.000
0.000 0.000 11.321
Tl W
3 1
direct
0.000 0.000 0.000 Tl
0.333 0.667 0.279 Tl
0.333 0.667 0.721 Tl
0.000 0.000 0.500 W
```

Output
- Energy of formation: 727 meV/atom
- Magnetization: 0.0 μB/f.u.
- Symmetry: P-6m2 (187)

---

Density functional theory data (GGA-PBE) for a geometry-optimized TlW2 structure.

```
TlW2
1.0
11.183 0.000 0.000
0.000 3.139 0.000
-2.822 0.000 6.681
Tl W
4 8
direct
0.146 0.000 0.067 Tl
0.354 0.500 0.933 Tl
0.646 0.500 0.067 Tl
0.854 0.000 0.933 Tl
0.007 0.500 0.670 W
0.191 0.000 0.582 W
0.309 0.500 0.418 W
0.493 0.000 0.330 W
0.507 0.000 0.670 W
0.691 0.500 0.582 W
0.809 0.000 0.418 W
0.993 0.500 0.330 W
```

Output
- Energy of formation: 718 meV/atom
- Magnetization: 0.0 μB/f.u.
- Symmetry: C2/m (12)

---

Density functional theory data (GGA-PBE) for a geometry-optimized Tl3W structure.

```
Tl3W
1.0
4.569 0.000 0.000
0.000 4.569 0.000
0.000 0.000 4.569
Tl W
3 1
direct
0.000 0.000 0.500 Tl
0.000 0.500 0.000 Tl
0.500 0.000 0.000 Tl
0.500 0.500 0.500 W
```

Output
- Energy of formation: 1127 meV/atom
- Magnetization: 2.1 μB/f.u.
- Symmetry: Pm-3m (221)

---

Density functional theory data (GGA-PBE) for a geometry-optimized TlW2 structure.

```
TlW2
1.0
2.805 0.000 0.000
0.000 8.569 0.000
0.000 0.000 4.490
Tl W
2 4
direct
0.000 0.000 0.000 Tl
0.500 0.500 0.500 Tl
0.089 0.333 0.000 W
0.411 0.833 0.500 W
0.589 0.167 0.500 W
0.911 0.667 0.000 W
```

Output
- Energy of formation: 918 meV/atom
- Magnetization: 0.0 μB/f.u.
- Symmetry: Pnnm (58)